Entry 1:
Below is a relaxed NaSr3Ho3Te8 crystal, with properties calculated at the PBE level.

a b c (Å): 8.987 8.988 9.145
angles (deg): 119.44 90.00 120.00
Element x y z (fractional)
1 Na 0.000 0.000 0.500
2 Sr 0.000 0.000 0.000
3 Sr 0.000 0.500 0.000
4 Sr 0.500 0.500 0.000
5 Ho 0.500 0.000 0.500
6 Ho 0.500 0.500 0.500
7 Ho 0.000 0.500 0.500
8 Te 0.257 0.514 0.271
9 Te 0.743 0.486 0.729
10 Te 0.748 0.496 0.268
11 Te 0.252 0.504 0.732
12 Te 0.748 0.020 0.268
13 Te 0.252 0.980 0.732
14 Te 0.272 0.020 0.268
15 Te 0.728 0.980 0.732

## Properties
The uncorrected formation energy is -1427 meV/atom. Its space group is R-3m.



Entry 2:
Below is a relaxed NaTbHo crystal, with properties calculated at the PBE level.

a b c (Å): 3.484 3.484 8.484
angles (deg): 101.85 101.85 90.00
Element x y z (fractional)
1 Na 0.000 0.000 0.999
2 Tb 0.676 0.676 0.353
3 Ho 0.324 0.324 0.648

## Properties
The calculation puts the formation energy at 0.16 eV/atom. The energy above the most stable polymorph in this dataset comes out at 0.020 eV/atom. Its space group is I4mm.



Entry 3:
Below is a relaxed NaTbHo crystal, with properties calculated at the PBE level.

a b c (Å): 3.528 3.528 9.134
angles (deg): 90.00 90.00 120.00
Element x y z (fractional)
1 Na 0.000 0.000 0.001
2 Tb 0.333 0.667 0.650
3 Ho 0.667 0.333 0.350

## Properties
The calculation puts the formation energy at 0.14 eV/atom. The energy above the most stable polymorph in this dataset comes out at 0.000 eV/atom. Its space group is P3m1.



Entry 4:
Below is a relaxed NaTbHo crystal, with properties calculated at the PBE level.

a b c (Å): 4.409 4.409 11.247
angles (deg): 90.00 90.00 90.00
Element x y z (fractional)
1 Tb 0.500 0.000 0.239
2 Tb 0.000 0.500 0.761
3 Na 0.500 0.000 0.586
4 Na 0.000 0.500 0.414
5 Ho 0.500 0.500 0.000
6 Ho 0.000 0.000 0.000

## Properties
The calculation puts the formation energy at 0.47 eV/atom. The energy above the most stable polymorph in this dataset comes out at 0.332 eV/atom. Its space group is P4/nmm.



Entry 5:
Below is a relaxed NaTbHo crystal, with properties calculated at the PBE level.

a b c (Å): 6.713 6.716 9.604
angles (deg): 83.17 71.80 30.45
Element x y z (fractional)
1 Na 0.273 0.937 0.907
2 Na 0.962 0.702 0.947
3 Tb 0.941 0.386 0.299
4 Tb 0.294 0.254 0.555
5 Ho 0.975 0.023 0.601
6 Ho 0.260 0.617 0.253

## Properties
The calculation puts the formation energy at 0.16 eV/atom. The energy above the most stable polymorph in this dataset comes out at 0.019 eV/atom. Its space group is P-1.



Entry 6:
Below is a relaxed Na4TbHo3Te8 crystal, with properties calculated at the PBE level.

a b c (Å): 8.840 9.127 8.840
angles (deg): 118.98 120.00 90.00
Element x y z (fractional)
1 Na 0.500 0.000 0.000
2 Na 0.500 0.000 0.500
3 Na 0.000 0.000 0.000
4 Na 0.000 0.000 0.500
5 Tb 0.000 0.500 0.000
6 Ho 0.500 0.500 0.000
7 Ho 0.500 0.500 0.500
8 Ho 0.000 0.500 0.500
9 Te 0.245 0.732 0.987
10 Te 0.245 0.732 0.490
11 Te 0.256 0.269 0.513
12 Te 0.742 0.732 0.987
13 Te 0.258 0.268 0.013
14 Te 0.744 0.731 0.487
15 Te 0.755 0.268 0.510
16 Te 0.755 0.268 0.013

## Properties
The uncorrected formation energy is -1313 meV/atom. Its space group is R-3m.



Entry 7:
Below is a relaxed Na2Tb3HoTe6 crystal, with properties calculated at the PBE level.

a b c (Å): 7.605 7.605 7.707
angles (deg): 99.44 99.44 119.95
Element x y z (fractional)
1 Na 0.334 0.666 0.000
2 Na 0.666 0.334 0.000
3 Tb 0.170 0.830 0.500
4 Tb 0.830 0.170 0.500
5 Tb 0.500 0.500 0.500
6 Ho 0.000 0.000 0.000
7 Te 0.917 0.588 0.750
8 Te 0.757 0.757 0.255
9 Te 0.083 0.412 0.250
10 Te 0.588 0.917 0.750
11 Te 0.243 0.243 0.745
12 Te 0.412 0.083 0.250

## Properties
The uncorrected formation energy is -1311 meV/atom. Its space group is C2/m.



Entry 8:
Below is a relaxed Na3TbHo2Te6 crystal, with properties calculated at the PBE level.

a b c (Å): 7.659 7.659 7.986
angles (deg): 99.20 99.20 120.00
Element x y z (fractional)
1 Na 0.166 0.834 0.500
2 Na 0.834 0.166 0.500
3 Na 0.500 0.500 0.500
4 Tb 0.000 0.000 0.000
5 Ho 0.333 0.667 0.000
6 Ho 0.667 0.333 0.000
7 Te 0.923 0.588 0.768
8 Te 0.742 0.742 0.232
9 Te 0.077 0.412 0.232
10 Te 0.588 0.923 0.768
11 Te 0.258 0.258 0.768
12 Te 0.412 0.077 0.232

## Properties
The uncorrected formation energy is -1314 meV/atom. Its space group is C2/m.



Entry 9:
Below is a relaxed NaTbHo2Te4 crystal, with properties calculated at the PBE level.

a b c (Å): 4.343 7.616 7.619
angles (deg): 108.89 90.00 90.00
Element x y z (fractional)
1 Na 0.000 0.000 0.000
2 Tb 0.500 0.500 0.000
3 Ho 0.500 0.000 0.500
4 Ho 0.000 0.500 0.500
5 Te 0.500 0.253 0.255
6 Te 0.500 0.747 0.745
7 Te 0.000 0.249 0.747
8 Te 0.000 0.751 0.253

## Properties
The uncorrected formation energy is -1297 meV/atom. Its space group is P2/m.



Entry 10:
Below is a relaxed Na3Tb2HoTe6 crystal, with properties calculated at the PBE level.

a b c (Å): 7.677 7.677 7.988
angles (deg): 99.22 99.22 120.00
Element x y z (fractional)
1 Na 0.168 0.832 0.500
2 Na 0.832 0.168 0.500
3 Na 0.500 0.500 0.500
4 Tb 0.333 0.667 0.000
5 Tb 0.667 0.333 0.000
6 Ho 0.000 0.000 0.000
7 Te 0.923 0.591 0.768
8 Te 0.746 0.746 0.232
9 Te 0.077 0.409 0.232
10 Te 0.591 0.923 0.768
11 Te 0.254 0.254 0.768
12 Te 0.409 0.077 0.232

## Properties
The uncorrected formation energy is -1318 meV/atom. Its space group is C2/m.



Entry 11:
Below is a relaxed NaTbHoTl crystal, with properties calculated at the PBE level.

a b c (Å): 5.400 5.400 5.400
angles (deg): 60.00 60.00 60.00
Element x y z (fractional)
1 Na 0.500 0.500 0.500
2 Tl 0.000 0.000 0.000
3 Tb 0.250 0.250 0.250
4 Ho 0.750 0.750 0.750

## Properties
The calculation puts the formation energy at -0.05 eV/atom. Its space group is F-43m.



Entry 12:
Below is a relaxed NaTbHo2Tl4 crystal, with properties calculated at the PBE level.

a b c (Å): 5.317 5.317 9.343
angles (deg): 73.47 73.47 60.00
Element x y z (fractional)
1 Na 0.500 0.500 0.500
2 Tb 0.000 0.000 0.000
3 Ho 0.754 0.754 0.739
4 Ho 0.246 0.246 0.261
5 Tl 0.376 0.376 0.873
6 Tl 0.875 0.875 0.376
7 Tl 0.125 0.125 0.624
8 Tl 0.624 0.624 0.127

## Properties
The calculation puts the formation energy at -0.28 eV/atom. Its space group is R-3m.



What is the formula in the twelfth record?
NaTbHo2Tl4